Record 1
Computed, not measured: a relaxed La2BeCr crystal at the GGA-PBE level of DFT.

Structure (POSCAR):
```
La2BeCr
1.0
-2.0538 -2.6022 0.3740
2.1360 -1.9285 -1.6874
3.7493 -1.9556 6.9810
Cr Be La
1 1 2
direct
0.5000 0.5000 0.6521
0.0000 0.0000 0.5792
0.0000 0.0000 0.9245
0.5000 0.5000 0.3441
```

Calculated values
Crystal system = tetragonal
Total moment = 1.1 Bohr magnetons per cell
Formation enthalpy at 0 K = 0.336 eV/atom
Symmetry = P4mm
Volume = 22.7 Å³/atom

---

Record 2
Computed, not measured: a relaxed CuSbCl5 crystal at the GGA-PBE level of DFT.

Structure (POSCAR):
```
CuSbCl5
1.0
7.4012 -1.3363 -0.2121
1.0808 7.4428 -0.2121
2.7833 2.0038 7.6170
Cu Sb Cl
2 2 10
direct
0.0000 0.0000 0.0000
0.0000 0.0000 0.5000
0.4980 0.5020 0.2500
0.5020 0.4980 0.7500
0.7970 0.7310 0.1263
0.3336 0.6619 0.4550
0.7310 0.7970 0.6263
0.9150 0.0850 0.2500
0.3381 0.6664 0.0450
0.6619 0.3336 0.9550
0.0850 0.9150 0.7500
0.2690 0.2030 0.3737
0.6664 0.3381 0.5450
0.2030 0.2690 0.8737
```

Calculated values
Crystal system = monoclinic
Total moment = 0.0 Bohr magnetons per cell
Total energy = -3.132 eV per atom
Symmetry = C2/c
Volume = 31.3 Å³/atom

---

Record 3
Computed, not measured: a relaxed La2YZr crystal at the GGA-PBE level of DFT.

Structure (POSCAR):
```
La2YZr
1.0
5.0049 0.0000 0.0000
0.0000 3.5218 -0.0018
0.0000 3.5186 7.0876
La Y Zr
2 1 1
direct
0.0000 0.0144 0.9859
0.5000 0.2496 0.2499
0.0000 0.4790 0.5211
0.5000 0.7570 0.7431
```

Calculated values
Crystal system = orthorhombic
Energy above the lowest structure with this stoichiometry = 28.6 meV per atom
Total moment = 0.0 Bohr magnetons per cell
Formation enthalpy at 0 K = 0.128 eV/atom
Symmetry = Pmm2
Volume = 31.2 Å³/atom

---

Record 4
Computed, not measured: a relaxed Sc6AlSn2 crystal at the GGA-PBE level of DFT.

Structure (POSCAR):
```
Sc6AlSn2
1.0
3.7393 0.0000 0.0000
0.0000 8.0036 0.0000
0.0000 -4.0018 6.9311
Sc Al Sn
6 1 2
direct
0.5000 0.6156 0.0000
0.5000 0.3844 0.3844
0.5000 0.0000 0.6156
0.0000 0.2674 0.0000
0.0000 0.7326 0.7326
0.0000 0.0000 0.2674
0.5000 0.0000 0.0000
0.0000 0.3333 0.6667
0.0000 0.6667 0.3333
```

Calculated values
Crystal system = hexagonal
Total moment = 0.0 Bohr magnetons per cell
Formation enthalpy at 0 K = -0.456 eV/atom
Symmetry = P-62m
Volume = 23.0 Å³/atom

---

Record 5
Computed, not measured: a relaxed La2InGa2 crystal at the GGA-PBE level of DFT.

Structure (POSCAR):
```
La2InGa2
1.0
4.4596 0.0000 0.0000
0.0000 4.0855 -1.1615
0.0000 -0.1169 7.3550
La In Ga
2 1 2
direct
0.5000 0.6294 0.2588
0.5000 0.3706 0.7412
0.0000 0.0000 0.0000
0.0000 0.2011 0.4023
0.0000 0.7989 0.5977
```

Calculated values
Crystal system = orthorhombic
Energy above the lowest structure with this stoichiometry = 0.0 meV per atom
Total moment = 0.0 Bohr magnetons per cell
Formation enthalpy at 0 K = -0.621 eV/atom
Symmetry = Cmmm
Volume = 26.7 Å³/atom

---

Record 6
Computed, not measured: a relaxed TmMnCl6 crystal at the GGA-PBE level of DFT.

Structure (POSCAR):
```
TmMnCl6
1.0
-6.0942 0.6536 1.9785
3.0481 -5.9113 4.3530
0.4321 1.7491 7.7419
Tm Mn Cl
1 1 6
direct
0.5000 0.0000 0.0000
0.0000 0.0000 0.0000
0.1415 0.7486 0.0000
0.3930 0.2514 0.7486
0.8585 0.2514 0.0000
0.8585 0.0000 0.7486
0.6070 0.7486 0.2514
0.1415 0.0000 0.2514
```

Calculated values
Crystal system = trigonal
Energy above the lowest structure with this stoichiometry = 0.0 meV per atom
Total moment = 4.0 Bohr magnetons per cell
Symmetry = R-3m
Volume = 40.8 Å³/atom

---

Record 7
Computed, not measured: a relaxed ZrSi crystal at the GGA-PBE level of DFT.

Structure (POSCAR):
```
ZrSi
1.0
9.4868 -0.0014 -0.0008
8.9930 3.0205 -0.0008
8.9930 1.4692 2.6391
Si Zr
2 2
direct
0.0084 0.0084 0.0084
0.7416 0.7416 0.7416
0.4897 0.4897 0.4897
0.2603 0.2603 0.2603
```

Calculated values
Crystal system = trigonal
Total moment = 0.0 Bohr magnetons per cell
Total energy = -6.970 eV per atom
Symmetry = R-3m
Volume = 18.9 Å³/atom

---

Record 8
Computed, not measured: a relaxed TbBe4Ir crystal at the GGA-PBE level of DFT.

Structure (POSCAR):
```
TbBe4Ir
1.0
-0.4041 -3.8319 2.6674
2.9999 -0.7275 3.5260
-1.4625 0.3767 4.4363
Be Ir Tb
4 1 1
direct
0.6282 0.6282 0.1154
0.6282 0.1154 0.6282
0.6282 0.6282 0.6282
0.1154 0.6282 0.6282
0.0000 0.0000 0.0000
0.2500 0.2500 0.2500
```

Calculated values
Crystal system = cubic
Total moment = 0.0 Bohr magnetons per cell
Formation enthalpy at 0 K = -0.350 eV/atom
Symmetry = F-43m
Volume = 12.1 Å³/atom

---

Record 9
Computed, not measured: a relaxed CsCaGaCl6 crystal at the GGA-PBE level of DFT.

Structure (POSCAR):
```
CsCaGaCl6
1.0
-0.0194 6.8108 0.4818
-3.5188 3.0605 4.9871
6.1921 -0.3036 4.5541
Cs Ca Ga Cl
1 1 1 6
direct
0.0000 0.0000 0.0000
0.6666 0.6666 0.5000
0.3333 0.3334 0.5000
0.0377 0.3530 0.3163
0.3529 0.0377 0.6837
0.6092 0.3532 0.6838
0.0375 0.6095 0.6836
0.3531 0.6092 0.3162
0.6095 0.0375 0.3164
```

Calculated values
Crystal system = trigonal
Total moment = 0.0 Bohr magnetons per cell
Total energy = -3.619 eV per atom
Symmetry = P312
Volume = 34.5 Å³/atom

---

Record 10
Computed, not measured: a relaxed TaMo2Pb crystal at the GGA-PBE level of DFT.

Structure (POSCAR):
```
TaMo2Pb
1.0
5.1171 0.0090 0.0000
1.7099 4.8230 0.0000
-3.4135 -2.4160 2.9488
Mo Pb Ta
2 1 1
direct
0.0000 0.0000 0.0000
0.5000 0.5000 0.0000
0.2500 0.7500 0.5000
0.7500 0.2500 0.5000
```

Calculated values
Crystal system = tetragonal
Total moment = 0.0 Bohr magnetons per cell
Formation enthalpy at 0 K = 0.518 eV/atom
Symmetry = I4/mmm
Volume = 18.2 Å³/atom

---

Record 11
Computed, not measured: a relaxed ZrAs2Ir crystal at the GGA-PBE level of DFT.

Structure (POSCAR):
```
ZrAs2Ir
1.0
-4.0146 4.8030 5.8732
-6.1641 2.5910 5.3825
-3.8302 2.0815 7.3944
As Ir Zr
2 1 1
direct
0.9912 0.9912 0.9912
0.5088 0.5088 0.5088
0.2500 0.2500 0.2500
0.7500 0.7500 0.7500
```

Calculated values
Crystal system = trigonal
Energy above the lowest structure with this stoichiometry = 489.0 meV per atom
Total moment = 0.0 Bohr magnetons per cell
Formation enthalpy at 0 K = -0.074 eV/atom
Symmetry = R-3m
Volume = 17.7 Å³/atom

---

Record 12
Computed, not measured: a relaxed HfCdRhAu2 crystal at the GGA-PBE level of DFT.

Structure (POSCAR):
```
HfCdRhAu2
1.0
5.1431 0.0000 0.0000
0.0000 4.6630 0.0000
0.0000 0.0000 5.1431
Hf Au Rh Cd
1 2 1 1
direct
0.0000 0.5000 0.0000
0.0000 0.0000 0.5000
0.5000 0.0000 0.0000
0.0000 0.0000 0.0000
0.5000 0.5000 0.5000
```

Calculated values
Crystal system = tetragonal
Total moment = 0.0 Bohr magnetons per cell
Formation enthalpy at 0 K = 0.387 eV/atom
Symmetry = P4/mmm
Volume = 24.7 Å³/atom